A relaxed Ba6In2Pd crystal. Source: Alexandria, functional GGA-PBE.

Cell lengths 8.1342, 9.0776, 14.2908 Å; angles 90.00, 124.52, 90.00 degrees
Sites, in units of the cell vectors:
Ba  0.1124  0.1903  0.4401
Ba  0.1124  0.3097  0.9401
Ba  0.2622  0.6760  0.4413
Ba  0.2622  0.8240  0.9413
Ba  0.3686  0.0274  0.2530
Ba  0.3686  0.4726  0.7530
Ba  0.6314  0.5274  0.2470
Ba  0.6314  0.9726  0.7470
Ba  0.7378  0.1760  0.0587
Ba  0.7378  0.3240  0.5587
Ba  0.8876  0.6903  0.0599
Ba  0.8876  0.8097  0.5599
In  0.2108  0.1031  0.7472
In  0.2108  0.3969  0.2472
In  0.7892  0.6031  0.7528
In  0.7892  0.8969  0.2528
Pd  0.0000  0.0000  0.0000
Pd  0.0000  0.5000  0.5000

Computed properties:
For the total magnetic moment, the calculation gives 2.89 μB per cell. As for the formation energy: -0.305 eV/atom. Its symmetry is P2_1/c (14). The calculation puts the density of states at the Fermi level at 1.29 states/eV per atom.